Crystalline LiFeF3 at its relaxed geometry, computed with GGA+U.

Output
Magnetization = 0.800 μB per atom
VASP energy = -5.241 eV per atom

Cell: 6.5396 6.5743 8.6642 Å, 93.67 104.82 96.63°
Space group P-1 (No. 2)
Inequivalent atoms, fractional coordinates:
Li1 0.0387 0.4008 0.2964 [2 per cell]
Li2 0.2113 0.8153 0.0160 [2 per cell]
Li3 0.4455 0.9671 0.7496 [2 per cell]
Fe1 0.1285 0.8864 0.3994 [2 per cell]
Fe2 0.3001 0.3164 0.9962 [2 per cell]
Fe3 0.4167 0.4141 0.6495 [2 per cell]
F1 0.0343 0.8329 0.5969 [2 per cell]
F2 0.0533 0.3258 0.0889 [2 per cell]
F3 0.1270 0.3634 0.7362 [2 per cell]
F4 0.2471 0.9372 0.2206 [2 per cell]
F5 0.2938 0.0265 0.9039 [2 per cell]
F6 0.2937 0.5616 0.4331 [2 per cell]
F7 0.3639 0.1160 0.5685 [2 per cell]
F8 0.4226 0.6338 0.0904 [2 per cell]
F9 0.4808 0.6936 0.7704 [2 per cell]